Density functional theory data (GGA-PBEsol) for a relaxed YGe3Bi crystal.

## Properties
VASP energy = -22.0 eV/f.u.
energy of formation from the pure elements = 793 meV per atom
magnetic moment = 0.00 μB/cell
DOS at the Fermi energy = 4.71 states/eV/cell

Cell: 5.2913 5.2913 5.2913 Å, 90.00 90.00 90.00°
Fractional positions:
Y: 0.5000 0.5000 0.5000
Ge: 0.0000 0.5000 0.0000
Ge: 0.0000 0.0000 0.5000
Ge: 0.5000 0.0000 0.0000
Bi: 0.0000 0.0000 0.0000


Density functional theory data (GGA-PBEsol) for a relaxed KLi2Al crystal.

## Properties
VASP energy = -8.7 eV/f.u.
energy of formation from the pure elements = 111 meV per atom
magnetic moment = 0.00 μB/cell
DOS at the Fermi energy = 0.97 states/eV/cell

Cell: 3.4649 3.4649 8.4938 Å, 90.00 90.00 90.00°
Fractional positions:
K: 0.5000 0.5000 0.5000
Al: 0.5000 0.5000 0.0000
Li: 0.0000 0.0000 0.8359
Li: 0.0000 0.0000 0.1641


Density functional theory data (GGA-PBEsol) for a relaxed LiPbNF2 crystal.

## Properties
energy relative to the elements, uncorrected = -0.80 eV/atom
VASP energy = -22.3 eV/f.u.
magnetic moment = 0.29 μB/cell
DOS at the Fermi energy = 2.56 states/eV/cell

Cell: 4.0710 4.5267 4.5267 Å, 90.00 90.00 90.00°
Fractional positions:
Pb: 0.0000 0.0000 0.0000
N: 0.5000 0.0000 0.0000
Li: 0.5000 0.5000 0.5000
F: 0.0000 0.0000 0.5000
F: 0.0000 0.5000 0.0000


Density functional theory data (GGA-PBEsol) for a relaxed Ir4Os5 crystal.

## Properties
VASP energy = -100.1 eV/f.u.
energy of formation from the pure elements = 34 meV per atom
magnetic moment = 0.00 μB/cell
DOS at the Fermi energy = 7.80 states/eV/cell

Cell: 3.8257 6.0521 6.0521 Å, 84.27 71.57 71.57°
Fractional positions:
Ir: 0.3292 0.6708 0.6708
Ir: 0.6708 0.3292 0.3292
Ir: 0.0000 0.3292 0.6708
Ir: 0.0000 0.6708 0.3292
Os: 0.0000 0.0000 0.0000
Os: 0.3345 0.0000 0.3310
Os: 0.6655 0.0000 0.6690
Os: 0.6655 0.6690 0.0000
Os: 0.3345 0.3310 0.0000


Density functional theory data (GGA-PBEsol) for a relaxed Nb2MoSe2 crystal.

## Properties
energy relative to the elements, uncorrected = 0.25 eV/atom
VASP energy = -39.9 eV/f.u.
magnetic moment = 0.00 μB/cell
DOS at the Fermi energy = 6.59 states/eV/cell

Cell: 4.9373 5.1521 4.9373 Å, 61.37 90.00 118.63°
Fractional positions:
Mo: 0.0000 0.0000 0.0000
Nb: 0.7500 0.5000 0.7500
Nb: 0.2500 0.5000 0.2500
Se: 0.6683 0.3366 0.3317
Se: 0.3317 0.6634 0.6683


Density functional theory data (GGA-PBEsol) for a relaxed NaIn2W crystal.

## Properties
VASP energy = -18.5 eV/f.u.
energy of formation from the pure elements = 671 meV per atom
magnetic moment = 1.58 μB/cell
DOS at the Fermi energy = 2.76 states/eV/cell

Cell: 4.8192 4.8192 4.8192 Å, 60.00 60.00 60.00°
Fractional positions:
Na: 0.0000 0.0000 0.0000
W: 0.5000 0.5000 0.5000
In: 0.2500 0.2500 0.2500
In: 0.7500 0.7500 0.7500